P) Compound: CaBiCl3
Source: Alexandria
Functional: PBE
Structure: relaxed

Calculated values
**Magnetization**: 0.00 μB per cell
**Calculated volume**: 36.003 Å³/atom
**Symmetry**: Pm-3m

Cell and atoms, written as POSCAR:
```
CaBiCl3
1.0
5.646 0.000 0.000
0.000 5.646 0.000
0.000 0.000 5.646
Ca Cl Bi
1 3 1
direct
0.500 0.500 0.500
0.000 0.500 0.000
0.500 0.000 0.000
0.000 0.000 0.500
0.000 0.000 0.000
```


Q) Compound: CaBiCl3
Source: Alexandria
Functional: PBE
Structure: relaxed

Calculated values
**Magnetization**: 2.00 μB per cell
**Calculated volume**: 31.085 Å³/atom
**Symmetry**: Pm-3m

Cell and atoms, written as POSCAR:
```
CaBiCl3
1.0
5.377 0.000 0.000
0.000 5.377 0.000
0.000 0.000 5.377
Ca Bi Cl
1 1 3
direct
0.000 0.000 0.000
0.500 0.500 0.500
0.000 0.000 0.500
0.500 0.000 0.000
0.000 0.500 0.000
```


If you had to name the least stable structure above, which would it be? It would be P).